Run i
This record from Alexandria via LeMat-Bulk describes a relaxed NdErScTl crystal. The functional is PBE.

abc: 7.6582 7.6582 7.6582
angles: 90.00 90.00 90.00
Last column: nearest neighbours and their distance in Å.
Space group F-43m (No. 216)
Unique sites:
Nd 0.0000 0.0000 0.0000 (multiplicity 4)  4 Sc 3.32, 4 Tl 3.32
Er 0.0000 0.0000 0.5000 (multiplicity 4)  4 Tl 3.32, 4 Sc 3.32
Sc 0.2500 0.2500 0.7500 (multiplicity 4)  4 Er 3.32, 4 Nd 3.32
Tl 0.2500 0.2500 0.2500 (multiplicity 4)  4 Er 3.32, 4 Nd 3.32

Summary:
DOS(E_F) = 19.20 states/eV per cell



Run ii
This record from Alexandria via LeMat-Bulk describes a relaxed NdErScTl crystal. The functional is PBE.

abc: 4.7353 4.8057 4.8220
angles: 90.00 90.00 90.00
Last column: nearest neighbours and their distance in Å.
Space group Pmmm (No. 47)
Unique sites:
Nd 0.0000 0.0000 0.0000 (multiplicity 1)  4 Er 3.37, 4 Sc 3.38, 4 Tl 3.40
Er 0.5000 0.5000 0.0000 (multiplicity 1)  4 Nd 3.37, 4 Tl 3.38, 4 Sc 3.40
Sc 0.5000 0.0000 0.5000 (multiplicity 1)  4 Tl 3.37, 4 Nd 3.38, 4 Er 3.40
Tl 0.0000 0.5000 0.5000 (multiplicity 1)  4 Sc 3.37, 4 Er 3.38, 4 Nd 3.40

Summary:
DOS(E_F) = 5.88 states/eV per cell



Which structure is most stable? run ii, by 10.5 kJ/mol of atoms over the runner-up.



Run i
This record from Alexandria via LeMat-Bulk describes a relaxed Nd3ErSe6 crystal. The functional is PBE.

abc: 12.2680 12.2680 14.5353
angles: 90.00 90.00 120.00
Last column: nearest neighbours and their distance in Å.
Space group R-3 (No. 148, hexagonal axes)
Unique sites:
Nd 0.0514 0.7797 0.2010 (multiplicity 18)  6 Se 2.93-3.03
Er 0.0000 0.0000 0.0000 (multiplicity 3)  6 Se 2.80
Er 0.0000 0.0000 0.5000 (multiplicity 3)  6 Se 2.84
Se 0.0206 0.8131 0.3981 (multiplicity 18)  1 Er 2.84, 3 Nd 2.95-3.03
Se 0.0323 0.8396 0.8797 (multiplicity 18)  1 Er 2.80, 3 Nd 2.93-3.02

Summary:
DOS(E_F) = 0.00 states/eV per cell



Run ii
This record from Alexandria via LeMat-Bulk describes a relaxed Nd3ErSe6 crystal. The functional is PBE.

abc: 7.0124 7.7340 12.6044
angles: 90.00 122.59 90.00
Last column: nearest neighbours and their distance in Å.
Space group P2_1/c (No. 14)
Unique sites:
Nd 0.0000 0.0000 0.0000 (multiplicity 2)  6 Se 2.89-2.96
Nd 0.2982 0.1030 0.7537 (multiplicity 4)  6 Se 2.98-3.17
Er 0.5000 0.0000 0.5000 (multiplicity 2)  6 Se 2.77-2.87
Se 0.0994 0.0586 0.2570 (multiplicity 4)  1 Er 2.87, 3 Nd 2.96-2.99
Se 0.2585 0.6793 0.0809 (multiplicity 4)  1 Er 2.77, 2 Nd 2.91-2.99
Se 0.4122 0.1865 0.0783 (multiplicity 4)  1 Er 2.81, 2 Nd 2.89-3.00

Summary:
DOS(E_F) = 0.00 states/eV per cell



Which structure is most stable? run i, by 2.0 kJ/mol of atoms over the runner-up.



Run i
This record from Alexandria via LeMat-Bulk describes a relaxed NdErSe crystal. The functional is PBE.

abc: 3.9025 3.9025 6.6685
angles: 90.00 90.00 120.00
Last column: nearest neighbours and their distance in Å.
Space group P3m1 (No. 156)
Unique sites:
Nd 0.0000 0.0000 0.0000 (multiplicity 1)  3 Se 2.98
Er 0.3333 0.6667 0.4443 (multiplicity 1)  3 Se 2.86
Se 0.6667 0.3333 0.7074 (multiplicity 1)  3 Er 2.86, 3 Nd 2.98

Summary:
DOS(E_F) = 1.15 states/eV per cell



Run ii
This record from Alexandria via LeMat-Bulk describes a relaxed NdErSe crystal. The functional is PBE.

abc: 3.7349 4.3435 5.2477
angles: 90.00 90.00 90.00
Last column: nearest neighbours and their distance in Å.
Space group Pmmm (No. 47)
Unique sites:
Nd 0.0000 0.0000 0.0000 (multiplicity 1)  4 Se 3.22, 4 Er 3.41
Er 0.0000 0.5000 0.5000 (multiplicity 1)  4 Se 2.86
Se 0.5000 0.0000 0.5000 (multiplicity 1)  4 Er 2.86

Summary:
DOS(E_F) = 3.44 states/eV per cell



Which structure is most stable? run i, by 25.4 kJ/mol of atoms over the runner-up.



Run i
This record from Alexandria via LeMat-Bulk describes a relaxed NdEr3Se4 crystal. The functional is PBE.

abc: 5.7292 9.3224 8.5101
angles: 90.00 90.00 90.00
Last column: nearest neighbours and their distance in Å.
Space group Pmmn (No. 59, origin choice 2)
Unique sites:
Nd 0.2500 0.2500 0.2481 (multiplicity 2)  5 Se 2.87-2.95
Er 0.2500 0.0429 0.6534 (multiplicity 4)  5 Se 2.79-2.91
Er 0.2500 0.7500 0.1066 (multiplicity 2)  5 Se 2.73-2.87
Se 0.2500 0.2500 0.9010 (multiplicity 2)  4 Er 2.86-2.87, 1 Nd 2.95
Se 0.2500 0.5522 0.3429 (multiplicity 4)  4 Er 2.73-2.87, 1 Nd 2.93
Se 0.2500 0.7500 0.7703 (multiplicity 2)  3 Er 2.86-2.91, 2 Nd 2.87

Summary:
DOS(E_F) = 7.04 states/eV per cell



Run ii
This record from Alexandria via LeMat-Bulk describes a relaxed NdEr3Se4 crystal. The functional is PBE.

abc: 8.3088 11.5655 4.0193
angles: 90.00 90.00 90.00
Last column: nearest neighbours and their distance in Å.
Space group Cmmm (No. 65)
Unique sites:
Nd 0.0000 0.0000 0.0000 (multiplicity 2)  6 Se 2.96
Er 0.0000 0.5000 0.0000 (multiplicity 2)  6 Se 2.82
Er 0.2500 0.2500 0.5000 (multiplicity 4)  6 Se 2.89
Se 0.0000 0.2558 0.0000 (multiplicity 4)  5 Er 2.82-2.89, 1 Nd 2.96
Se 0.2383 0.5000 0.5000 (multiplicity 4)  4 Er 2.82-2.89, 2 Nd 2.96

Summary:
DOS(E_F) = 8.91 states/eV per cell



Which structure is most stable? run ii, by 19.5 kJ/mol of atoms over the runner-up.



Run i
This record from Alexandria via LeMat-Bulk describes a relaxed Nd2ErSe4 crystal. The functional is PBE.

abc: 4.0072 13.9475 14.0936
angles: 90.00 90.00 90.00
Last column: nearest neighbours and their distance in Å.
Space group Cmcm (No. 63)
Unique sites:
Nd 0.0000 0.1300 0.0720 (multiplicity 8)  6 Se 2.89-3.05
Er 0.0000 0.3719 0.2500 (multiplicity 4)  6 Se 2.86-2.94
Se 0.0000 0.0185 0.2500 (multiplicity 4)  2 Er 2.86, 2 Nd 2.95
Se 0.0000 0.2185 0.6263 (multiplicity 8)  2 Er 2.94, 3 Nd 3.01-3.05
Se 0.0000 0.5000 0.0000 (multiplicity 4)  4 Nd 2.89

Summary:
DOS(E_F) = 8.45 states/eV per cell



Run ii
This record from Alexandria via LeMat-Bulk describes a relaxed Nd2ErSe4 crystal. The functional is PBE.

abc: 8.2791 8.3805 11.5676
angles: 90.00 90.00 90.00
Last column: nearest neighbours and their distance in Å.
Space group Imma (No. 74)
Unique sites:
Nd 0.0000 0.0000 0.0000 (multiplicity 4)  6 Se 2.96-2.99
Nd 0.2500 0.2500 0.2500 (multiplicity 4)  6 Se 2.95-3.01
Er 0.2500 0.2500 0.7500 (multiplicity 4)  6 Se 2.83-2.89
Se 0.0000 0.0099 0.7418 (multiplicity 8)  2 Er 2.89, 3 Nd 2.99-3.01
Se 0.2479 0.2500 0.5051 (multiplicity 8)  1 Er 2.83, 3 Nd 2.95-2.96

Summary:
DOS(E_F) = 8.43 states/eV per cell



Which structure is most stable? run ii, by 4.4 kJ/mol of atoms over the runner-up.



Run i
This record from Alexandria via LeMat-Bulk describes a relaxed Nd2ErSi crystal. The functional is PBE.

abc: 3.7001 3.7001 32.6656
angles: 90.00 90.00 120.00
Last column: nearest neighbours and their distance in Å.
Space group R-3m (No. 166, hexagonal axes)
Unique sites:
Nd 0.0000 0.0000 0.1063 (multiplicity 6)  3 Si 2.91
Er 0.0000 0.0000 0.0000 (multiplicity 3)  2 Nd 3.47, 6 Er 3.70
Si 0.0000 0.0000 0.5000 (multiplicity 3)  6 Nd 2.91

Summary:
DOS(E_F) = 18.99 states/eV per cell



Run ii
This record from Alexandria via LeMat-Bulk describes a relaxed Nd2ErSi crystal. The functional is PBE.

abc: 4.7076 4.7076 4.7675
angles: 90.00 90.00 90.00
Last column: nearest neighbours and their distance in Å.
Space group P4/mmm (No. 123)
Unique sites:
Nd 0.0000 0.5000 0.0000 (multiplicity 2)  4 Nd 3.33, 4 Si 3.35, 4 Er 3.35
Er 0.0000 0.0000 0.5000 (multiplicity 1)  4 Si 3.33, 8 Nd 3.35
Si 0.5000 0.5000 0.5000 (multiplicity 1)  4 Er 3.33, 8 Nd 3.35

Summary:
DOS(E_F) = 3.98 states/eV per cell



Which structure is most stable? run ii, by 31.1 kJ/mol of atoms over the runner-up.



Run i
This record from Alexandria via LeMat-Bulk describes a relaxed NdErSi2 crystal. The functional is PBE.

abc: 4.6185 4.6185 15.7254
angles: 90.00 90.00 120.00
Last column: nearest neighbours and their distance in Å.
Space group R-3m (No. 166, hexagonal axes)
Unique sites:
Nd 0.0000 0.0000 0.0000 (multiplicity 3)  6 Si 3.04
Er 0.0000 0.0000 0.5000 (multiplicity 3)  6 Si 2.90
Si 0.0000 0.0000 0.2399 (multiplicity 6)  3 Er 2.90, 3 Nd 3.04

Summary:
DOS(E_F) = 6.98 states/eV per cell



Run ii
This record from Alexandria via LeMat-Bulk describes a relaxed NdErSi2 crystal. The functional is PBE.

abc: 3.8762 4.3587 10.7119
angles: 90.00 90.00 90.00
Last column: nearest neighbours and their distance in Å.
Space group Amm2 (No. 38)
Unique sites:
Nd 0.0000 0.0000 0.0000 (multiplicity 2)  7 Si 3.01-3.19
Er 0.5000 0.0000 0.7201 (multiplicity 2)  7 Si 2.99-3.14
Si 0.0000 0.0000 0.2825 (multiplicity 2)  2 Si 2.51
Si 0.5000 0.0000 0.4312 (multiplicity 2)  2 Si 2.51

Summary:
DOS(E_F) = 5.93 states/eV per cell



Which structure is most stable? run ii, by 27.8 kJ/mol of atoms over the runner-up.



Run i
This record from Alexandria via LeMat-Bulk describes a relaxed NdErZnSi crystal. The functional is PBE.

abc: 7.1317 7.1317 7.1317
angles: 90.00 90.00 90.00
Last column: nearest neighbours and their distance in Å.
Space group F-43m (No. 216)
Unique sites:
Nd 0.0000 0.0000 0.0000 (multiplicity 4)  4 Zn 3.09, 4 Si 3.09
Er 0.0000 0.0000 0.5000 (multiplicity 4)  4 Si 3.09, 4 Zn 3.09
Zn 0.2500 0.2500 0.2500 (multiplicity 4)  4 Er 3.09, 4 Nd 3.09
Si 0.2500 0.2500 0.7500 (multiplicity 4)  4 Er 3.09, 4 Nd 3.09

Summary:
DOS(E_F) = 6.78 states/eV per cell



Run ii
This record from Alexandria via LeMat-Bulk describes a relaxed NdErZnSi crystal. The functional is PBE.

abc: 4.0727 4.2111 11.0885
angles: 90.00 90.00 90.00
Last column: nearest neighbours and their distance in Å.
Space group Amm2 (No. 38)
Unique sites:
Nd 0.0000 0.0000 0.0000 (multiplicity 2)  4 Zn 3.06, 3 Si 3.10-3.23
Er 0.5000 0.0000 0.2848 (multiplicity 2)  4 Si 3.02, 3 Zn 3.09-3.28
Zn 0.5000 0.0000 0.5809 (multiplicity 2)  2 Si 2.56
Si 0.0000 0.0000 0.7204 (multiplicity 2)  2 Zn 2.56

Summary:
DOS(E_F) = 7.67 states/eV per cell



Which structure is most stable? run ii, by 9.7 kJ/mol of atoms over the runner-up.



Run i
This record from Alexandria via LeMat-Bulk describes a relaxed NdSmEr crystal. The functional is PBE.

abc: 6.9227 6.9227 44.3974
angles: 90.00 90.00 120.00
Last column: nearest neighbours and their distance in Å.
Space group R-3m (No. 166, hexagonal axes)
Unique sites:
Nd 0.0313 0.5156 0.2782 (multiplicity 18)  2 Nd 3.14, 2 Er 3.22-3.28
Sm 0.0000 0.0000 0.2375 (multiplicity 6)  1 Sm 3.52, 3 Er 3.73, 6 Nd 3.91
Sm 0.0000 0.0000 0.3168 (multiplicity 6)  1 Sm 3.52, 9 Nd 3.66-3.87
Sm 0.0000 0.0000 0.4611 (multiplicity 6)  1 Sm 3.46, 3 Nd 3.70, 6 Er 3.87
Er 0.0000 0.0000 0.0000 (multiplicity 3)  6 Nd 3.28
Er 0.0000 0.0000 0.1084 (multiplicity 6)  3 Nd 3.22, 3 Er 3.27
Er 0.0000 0.5000 0.5000 (multiplicity 9)  6 Er 3.27-3.46

Summary:
DOS(E_F) = 97.53 states/eV per cell



Run ii
This record from Alexandria via LeMat-Bulk describes a relaxed NdSmEr crystal. The functional is PBE.

abc: 11.3251 5.1245 7.1841
angles: 90.00 107.80 90.00
Last column: nearest neighbours and their distance in Å.
Space group C2/m (No. 12)
Unique sites:
Nd 0.1659 0.0000 0.3319 (multiplicity 4)  5 Er 3.58-3.61, 5 Sm 3.60-3.61, 2 Nd 3.64
Sm 0.0000 0.5000 0.0000 (multiplicity 2)  6 Er 3.58-3.60, 2 Sm 3.59, 4 Nd 3.61
Sm 0.0000 0.5000 0.5000 (multiplicity 2)  2 Sm 3.59, 6 Nd 3.60, 4 Er 3.63
Er 0.1681 0.0000 0.8353 (multiplicity 4)  5 Nd 3.58-3.61, 5 Sm 3.58-3.63, 2 Er 3.59

Summary:
DOS(E_F) = 16.84 states/eV per cell



Run iii
This record from Alexandria via LeMat-Bulk describes a relaxed NdSmEr crystal. The functional is PBE.

abc: 5.7032 5.7032 3.5088
angles: 90.00 90.00 120.00
Last column: nearest neighbours and their distance in Å.
Space group P3m1 (No. 156)
Unique sites:
Nd 0.0000 0.0000 0.0000 (multiplicity 1)  3 Er 3.29, 2 Nd 3.51
Sm 0.6667 0.3333 0.4993 (multiplicity 1)  2 Sm 3.51, 6 Er 3.73, 6 Nd 3.73
Er 0.3333 0.6667 0.9982 (multiplicity 1)  3 Nd 3.29, 2 Er 3.51

Summary:
DOS(E_F) = 4.49 states/eV per cell



Run iv
This record from Alexandria via LeMat-Bulk describes a relaxed NdSmEr crystal. The functional is PBE.

abc: 3.6101 3.6101 15.2830
angles: 90.00 90.00 90.00
Last column: nearest neighbours and their distance in Å.
Space group I4mm (No. 107)
Unique sites:
Nd 0.0000 0.0000 0.0000 (multiplicity 2)  4 Er 3.60, 4 Nd 3.61, 4 Sm 3.65
Sm 0.0000 0.0000 0.6705 (multiplicity 2)  4 Er 3.58, 4 Sm 3.61, 4 Nd 3.65
Er 0.0000 0.0000 0.3343 (multiplicity 2)  4 Sm 3.58, 4 Nd 3.60, 4 Er 3.61

Summary:
DOS(E_F) = 8.64 states/eV per cell



Which structure is most stable? run ii, by 0.5 kJ/mol of atoms over the runner-up.



Run i
This record from Alexandria via LeMat-Bulk describes a relaxed NdSm2Er crystal. The functional is PBE.

abc: 4.2496 4.2496 7.4104
angles: 90.00 90.00 90.00
Last column: nearest neighbours and their distance in Å.
Space group P4/mmm (No. 123)
Unique sites:
Nd 0.0000 0.0000 0.0000 (multiplicity 1)  8 Sm 3.56, 2 Er 3.71
Sm 0.5000 0.5000 0.2569 (multiplicity 2)  4 Er 3.50, 4 Nd 3.56, 2 Sm 3.60-3.81
Er 0.0000 0.0000 0.5000 (multiplicity 1)  8 Sm 3.50, 2 Nd 3.71

Summary:
DOS(E_F) = 8.95 states/eV per cell



Run ii
This record from Alexandria via LeMat-Bulk describes a relaxed NdSm2Er crystal. The functional is PBE.

abc: 8.1339 8.1339 8.1339
angles: 90.00 90.00 90.00
Last column: nearest neighbours and their distance in Å.
Space group Fm-3m (No. 225)
Unique sites:
Nd 0.0000 0.0000 0.0000 (multiplicity 4)  8 Sm 3.52
Sm 0.2500 0.2500 0.2500 (multiplicity 8)  4 Er 3.52, 4 Nd 3.52
Er 0.0000 0.0000 0.5000 (multiplicity 4)  8 Sm 3.52

Summary:
DOS(E_F) = 42.61 states/eV per cell



Run iii
This record from Alexandria via LeMat-Bulk describes a relaxed NdSm2Er crystal. The functional is PBE.

abc: 5.0992 5.0992 5.1142
angles: 90.00 90.00 90.00
Last column: nearest neighbours and their distance in Å.
Space group P4/mmm (No. 123)
Unique sites:
Nd 0.0000 0.0000 0.0000 (multiplicity 1)  4 Er 3.61, 8 Sm 3.61
Sm 0.0000 0.5000 0.5000 (multiplicity 2)  4 Sm 3.61, 4 Er 3.61, 4 Nd 3.61
Er 0.5000 0.5000 0.0000 (multiplicity 1)  4 Nd 3.61, 8 Sm 3.61

Summary:
DOS(E_F) = 6.36 states/eV per cell



Run iv
This record from Alexandria via LeMat-Bulk describes a relaxed NdSm2Er crystal. The functional is PBE.

abc: 5.7838 7.3480 6.3512
angles: 90.00 90.00 90.00
Last column: nearest neighbours and their distance in Å.
Space group Pmmn (No. 59, origin choice 2)
Unique sites:
Nd 0.2500 0.2500 0.1651 (multiplicity 2)  4 Er 3.58-3.67, 8 Sm 3.59-3.67
Sm 0.2500 0.0013 0.6661 (multiplicity 4)  4 Sm 3.58-3.69, 4 Er 3.58-3.68, 4 Nd 3.59-3.67
Er 0.2500 0.7500 0.1671 (multiplicity 2)  4 Nd 3.58-3.67, 8 Sm 3.58-3.68

Summary:
DOS(E_F) = 13.73 states/eV per cell



Which structure is most stable? run iii, by 0.7 kJ/mol of atoms over the runner-up.